1.
Compound: Ac2Ga3BiPd4
Source: the Alexandria database
Functional: GGA-PBE
Structure: optimized geometry

Results
The formation enthalpy at 0 K comes out at -737 kJ/mol of formula units. As for the space-group type: No. 115. The value obtained for the total magnetization is 0.0 μB/f.u.

a b c (Å): 4.5358 4.5358 10.7978
angles (deg): 90.00 90.00 90.00
With the nearest neighbours (Å) after each atom.
Fractional positions:
Ac: 0.5000 0.0000 0.2373  8 Pd 3.41-3.42, 7 Ga 3.49-3.76, 2 Bi 3.63
Ac: 0.0000 0.5000 0.7627  8 Pd 3.41-3.42, 7 Ga 3.49-3.76, 2 Bi 3.63
Ga: 0.0000 0.0000 0.5000  4 Pd 2.82
Ga: 0.5000 0.0000 0.8890  5 Pd 2.53-2.57
Ga: 0.0000 0.5000 0.1110  5 Pd 2.53-2.57
Bi: 0.5000 0.5000 0.5000  4 Pd 2.82
Pd: 0.5000 0.5000 0.0000  4 Ga 2.57
Pd: 0.0000 0.0000 0.0000  4 Ga 2.57
Pd: 0.5000 0.0000 0.6549  3 Ga 2.53-2.82, 2 Bi 2.82
Pd: 0.0000 0.5000 0.3451  3 Ga 2.53-2.82, 2 Bi 2.82

2.
Compound: Ac3Ga2BiPd9
Source: the Alexandria database
Functional: GGA-PBE
Structure: optimized geometry

Results
The formation enthalpy at 0 K comes out at -724 kJ/mol of formula units. As for the space-group type: No. 164. The value obtained for the total magnetization is 0.0 μB/f.u.

a b c (Å): 7.5376 7.5376 7.1421
angles (deg): 90.00 90.00 120.00
With the nearest neighbours (Å) after each atom.
Fractional positions:
Ac: 0.3333 0.6667 0.6610  6 Pd 3.15-3.26, 1 Ga 3.43
Ac: 0.0000 0.0000 0.0000  6 Pd 3.28, 2 Bi 3.57
Ac: 0.6667 0.3333 0.3390  6 Pd 3.15-3.26, 1 Ga 3.43
Ga: 0.3333 0.6667 0.1409  6 Pd 2.40
Ga: 0.6667 0.3333 0.8591  6 Pd 2.40
Bi: 0.0000 0.0000 0.5000  6 Pd 2.66
Pd: 0.8211 0.1789 0.6773  1 Ga 2.40, 1 Bi 2.66
Pd: 0.8211 0.6422 0.6773  1 Ga 2.40, 1 Bi 2.66
Pd: 0.3578 0.1789 0.6773  1 Ga 2.40, 1 Bi 2.66
Pd: 0.6422 0.8211 0.3227  1 Ga 2.40, 1 Bi 2.66
Pd: 0.1789 0.3578 0.3227  1 Ga 2.40, 1 Bi 2.66
Pd: 0.1789 0.8211 0.3227  1 Ga 2.40, 1 Bi 2.66
Pd: 0.5000 0.0000 0.0000  2 Ga 2.40
Pd: 0.0000 0.5000 0.0000  2 Ga 2.40
Pd: 0.5000 0.5000 0.0000  2 Ga 2.40

3.
Compound: AcPmGaBi
Source: the Alexandria database
Functional: GGA-PBE
Structure: optimized geometry

Results
The formation enthalpy at 0 K comes out at -187 kJ/mol of formula units. As for the space-group type: No. 216. The value obtained for the total magnetization is 0.0 μB/f.u.

a b c (Å): 5.6102 5.6102 5.6102
angles (deg): 60.00 60.00 60.00
With the nearest neighbours (Å) after each atom.
Fractional positions:
Ac: 0.7500 0.7500 0.7500  4 Ga 3.44, 4 Bi 3.44
Bi: 0.0000 0.0000 0.0000  4 Ac 3.44, 4 Pm 3.44
Ga: 0.5000 0.5000 0.5000  4 Ac 3.44, 4 Pm 3.44
Pm: 0.2500 0.2500 0.2500  4 Bi 3.44, 4 Ga 3.44